Density functional theory data (PBE) for an optimized crystal structure of HoSc5.

Crystal system   monoclinic
SG   No. 11
Final energy   -35.92 eV per formula unit
Energy relative to the elements   0.0522 eV/atom
Volume   305.2 Å³ per cell

Geometry as POSCAR:
```
HoSc5
1.0
5.7235 0.0000 0.0000
0.0000 9.8815 0.0000
-1.9227 0.0000 5.3970
Ho Sc
2 10
direct
0.2494 0.2500 0.9998
0.7506 0.7500 0.0002
0.2498 0.0813 0.4999
0.2498 0.4187 0.4999
0.2503 0.5831 0.0002
0.2504 0.7500 0.5004
0.2503 0.9169 0.0002
0.7497 0.0831 0.9998
0.7496 0.2500 0.4996
0.7497 0.4169 0.9998
0.7502 0.5813 0.5001
0.7502 0.9187 0.5001
```